Arrangement i

The following is a DFT calculation (PBE) of a relaxed NdHo3Al2 crystal.

Geometry as POSCAR:
```
NdHo3Al2
1.0
5.2226 0.0000 0.0000
-2.6113 8.5958 -0.8687
0.0000 -4.5681 7.7118
Ho Nd Al
6 2 4
Direct
0.0619 0.1238 0.4082 Ho
0.3125 0.6251 0.6166 Ho
0.6172 0.2343 0.7035 Ho
0.3828 0.7657 0.2965 Ho
0.9381 0.8762 0.5918 Ho
0.6875 0.3749 0.3834 Ho
0.8686 0.7372 0.9191 Nd
0.1314 0.2628 0.0809 Nd
0.7691 0.5382 0.1391 Al
0.5208 0.0415 0.8840 Al
0.4792 0.9585 0.1160 Al
0.2309 0.4618 0.8609 Al
```

Results
The value obtained for the total magnetization is 0.01 Bohr magnetons per cell.

=====

Arrangement ii

The following is a DFT calculation (PBE) of a relaxed NdHo3Al2 crystal.

Geometry as POSCAR:
```
NdHo3Al2
1.0
3.5492 0.0000 0.0000
0.0000 3.5492 0.0000
0.0000 0.0000 12.6076
Ho Nd Al
3 1 2
Direct
0.0000 0.0000 0.0000 Ho
0.0000 0.0000 0.7076 Ho
0.0000 0.0000 0.2924 Ho
0.5000 0.5000 0.5000 Nd
0.5000 0.5000 0.8527 Al
0.5000 0.5000 0.1473 Al
```

Results
The value obtained for the total magnetization is 0.00 Bohr magnetons per cell.

=====

The structure with the least stability is arrangement i.

=====

Arrangement i

The following is a DFT calculation (PBE) of a relaxed NdHo3Al crystal.

Geometry as POSCAR:
```
NdHo3Al
1.0
-5.3109 0.3588 0.9202
-1.6292 -6.0765 -7.0339
0.7713 -8.5230 7.7746
Ho Al Nd
12 4 4
Direct
0.0021 0.4680 0.6505 Ho
0.9990 0.2413 0.1365 Ho
0.9992 0.8892 0.2311 Ho
0.4990 0.7587 0.3635 Ho
0.5021 0.5320 0.8495 Ho
0.5008 0.8892 0.7311 Ho
0.0008 0.1108 0.7689 Ho
0.5010 0.2413 0.6365 Ho
0.9979 0.5320 0.3495 Ho
0.4992 0.1108 0.2689 Ho
0.4979 0.4680 0.1505 Ho
0.0010 0.7587 0.8635 Ho
0.4978 0.3984 0.4129 Al
0.5022 0.6016 0.5871 Al
0.0022 0.3984 0.9129 Al
0.9978 0.6016 0.0871 Al
0.9996 0.1770 0.4470 Nd
0.0004 0.8230 0.5530 Nd
0.4996 0.8230 0.0530 Nd
0.5004 0.1770 0.9470 Nd
```

Results
The value obtained for the total magnetization is 0.00 Bohr magnetons per cell.

=====

Arrangement ii

The following is a DFT calculation (PBE) of a relaxed NdHo3Al crystal.

Geometry as POSCAR:
```
NdHo3Al
1.0
3.5980 0.0003 -0.6648
-0.3734 8.3844 -2.0308
-0.0735 -0.1222 9.6597
Nd Al Ho
2 2 6
Direct
0.0172 0.1623 0.2918 Nd
0.8132 0.0623 0.8835 Nd
0.8205 0.5551 0.8982 Al
0.0101 0.6696 0.2772 Al
0.2310 0.7245 0.7191 Ho
0.2170 0.3038 0.6909 Ho
0.4153 0.8252 0.0885 Ho
0.6136 0.9208 0.4844 Ho
0.5994 0.5002 0.4563 Ho
0.4151 0.3994 0.0868 Ho
```

Results
The value obtained for the total magnetization is 0.00 Bohr magnetons per cell.

=====

The structure with the least stability is arrangement i.